## Ba2OsRh (PBE)

Data for crystalline Ba2OsRh at its relaxed geometry.

The structure belongs to space group C2/m (No. 12); the cell edges are 7.775, 3.304 and 8.821 Å and the angles 90.00°, 96.68° and 90.00°. Symmetry generates all atoms from Ba at (0.250, 0.000, 0.241), Os at (0.000, 0.000, 0.500) and Rh at (0.000, 0.500, 0.000).

The calculated volume comes out at 225 Å³/cell. The formation energy is 3.94 eV per formula unit. The value obtained for the distance to the lowest polymorph of the same formula is 839.5 meV/atom.



## BaOsRh2 (PBE)

Data for crystalline BaOsRh2 at its relaxed geometry.

The structure belongs to space group I-42d (No. 122); the cell edges are 5.221, 5.221 and 16.044 Å and the angles 90.00°, 90.00° and 90.00°. Symmetry generates all atoms from Ba at (0.000, 0.000, 0.000), Os at (0.000, 0.000, 0.500) and Rh at (0.051, 0.250, 0.625).

The calculated volume comes out at 437 Å³/cell. The formation energy is 2.07 eV per formula unit. The value obtained for the distance to the lowest polymorph of the same formula is 340.3 meV/atom.



## BaOsRh2 (PBE)

Data for crystalline BaOsRh2 at its relaxed geometry.

The structure belongs to space group I-4m2 (No. 119); the cell edges are 4.267, 4.267 and 8.316 Å and the angles 90.00°, 90.00° and 90.00°. Symmetry generates all atoms from Ba at (0.000, 0.000, 0.000), Os at (0.000, 0.500, 0.750), Rh at (0.000, 0.000, 0.500) and Rh at (0.000, 0.500, 0.250).

The calculated volume comes out at 151 Å³/cell. The formation energy is 4.00 eV per formula unit. The value obtained for the distance to the lowest polymorph of the same formula is 821.0 meV/atom.



## Ba2OsRh (PBE)

Data for crystalline Ba2OsRh at its relaxed geometry.

The structure belongs to space group Cmmm (No. 65); the cell edges are 7.233, 8.700 and 3.396 Å and the angles 90.00°, 90.00° and 90.00°. Symmetry generates all atoms from Ba at (0.250, 0.250, 0.000), Os at (0.000, 0.000, 0.500) and Rh at (0.000, 0.500, 0.500).

The calculated volume comes out at 214 Å³/cell. The formation energy is 3.35 eV per formula unit. The value obtained for the distance to the lowest polymorph of the same formula is 691.6 meV/atom.



## Ba2OsRh (PBE)

Data for crystalline Ba2OsRh at its relaxed geometry.

The structure belongs to space group Cm (No. 8); the cell edges are 7.549, 4.407 and 9.155 Å and the angles 90.00°, 105.43° and 90.00°. Symmetry generates all atoms from Ba at (0.000, 0.000, 0.000), Ba at (0.161, 0.000, 0.500), Os at (0.398, 0.000, 0.250) and Rh at (0.257, 0.500, 0.250).

The calculated volume comes out at 294 Å³/cell. The formation energy is 0.58 eV per formula unit. The value obtained for the distance to the lowest polymorph of the same formula is 0.0 meV/atom.



## BaOsRh2 (PBE)

Data for crystalline BaOsRh2 at its relaxed geometry.

The structure belongs to space group R-3m (No. 166, hexagonal axes); the cell edges are 2.9484, 2.9484 and 29.5233 Å and the angles 90.00°, 90.00° and 120.00°. Symmetry generates all atoms from Ba at (0.0000, 0.0000, 0.0000), Os at (0.0000, 0.0000, 0.5000) and Rh at (0.0000, 0.0000, 0.2365).

The calculated volume comes out at 222 Å³/cell. The formation energy is 3.13 eV per formula unit. The value obtained for the distance to the lowest polymorph of the same formula is 604.0 meV/atom.



## BaOsRh2 (PBE)

Data for crystalline BaOsRh2 at its relaxed geometry.

The structure belongs to space group Immm (No. 71); the cell edges are 3.579, 5.606 and 9.101 Å and the angles 90.00°, 90.00° and 90.00°. Symmetry generates all atoms from Ba at (0.000, 0.000, 0.000), Os at (0.000, 0.000, 0.500) and Rh at (0.000, 0.500, 0.184).

The calculated volume comes out at 183 Å³/cell. The formation energy is 2.85 eV per formula unit. The value obtained for the distance to the lowest polymorph of the same formula is 534.7 meV/atom.



## BaOsRh2 (PBE)

Data for crystalline BaOsRh2 at its relaxed geometry.

The structure belongs to space group Pmmm (No. 47); the cell edges are 2.980, 4.858 and 5.382 Å and the angles 90.00°, 90.00° and 90.00°. Symmetry generates all atoms from Ba at (0.000, 0.000, 0.000), Os at (0.500, 0.000, 0.500), Rh at (0.000, 0.500, 0.500) and Rh at (0.500, 0.500, 0.000).

The calculated volume comes out at 78 Å³/cell. The formation energy is 4.14 eV per formula unit. The value obtained for the distance to the lowest polymorph of the same formula is 856.2 meV/atom.



## Ba2OsRh (PBE)

Data for crystalline Ba2OsRh at its relaxed geometry.

The structure belongs to space group F-43m (No. 216); the cell edges are 7.434, 7.434 and 7.434 Å and the angles 90.00°, 90.00° and 90.00°. Symmetry generates all atoms from Ba at (0.000, 0.000, 0.000), Ba at (0.250, 0.250, 0.250), Os at (0.000, 0.000, 0.500) and Rh at (0.250, 0.250, 0.750).

The calculated volume comes out at 411 Å³/cell. The formation energy is 3.65 eV per formula unit. The value obtained for the distance to the lowest polymorph of the same formula is 767.3 meV/atom.



## Ba2OsRh (PBE)

Data for crystalline Ba2OsRh at its relaxed geometry.

The structure belongs to space group I-42d (No. 122); the cell edges are 8.465, 8.465 and 6.308 Å and the angles 90.00°, 90.00° and 90.00°. Symmetry generates all atoms from Ba at (0.229, 0.750, 0.125), Os at (0.000, 0.000, 0.500) and Rh at (0.000, 0.000, 0.000).

The calculated volume comes out at 452 Å³/cell. The formation energy is 4.03 eV per formula unit. The value obtained for the distance to the lowest polymorph of the same formula is 861.3 meV/atom.



## BaOsRh2 (PBE)

Data for crystalline BaOsRh2 at its relaxed geometry.

The structure belongs to space group P4/mmm (No. 123); the cell edges are 5.071, 5.071 and 2.941 Å and the angles 90.00°, 90.00° and 90.00°. Symmetry generates all atoms from Ba at (0.000, 0.000, 0.000), Os at (0.500, 0.500, 0.000) and Rh at (0.000, 0.500, 0.500).

The calculated volume comes out at 76 Å³/cell. The formation energy is 3.21 eV per formula unit. The value obtained for the distance to the lowest polymorph of the same formula is 623.4 meV/atom.



## BaOsRh2 (PBE)

Data for crystalline BaOsRh2 at its relaxed geometry.

The structure belongs to space group Imm2 (No. 44); the cell edges are 2.930, 4.973 and 10.589 Å and the angles 90.00°, 90.00° and 90.00°. Symmetry generates all atoms from Ba at (0.000, 0.000, 0.000), Os at (0.000, 0.500, 0.222), Rh at (0.000, 0.000, 0.517) and Rh at (0.000, 0.500, 0.779).

The calculated volume comes out at 154 Å³/cell. The formation energy is 2.84 eV per formula unit. The value obtained for the distance to the lowest polymorph of the same formula is 532.4 meV/atom.



## Ba2OsRh (PBE)

Data for crystalline Ba2OsRh at its relaxed geometry.

The structure belongs to space group P4/mmm (No. 123); the cell edges are 5.370, 5.370 and 3.766 Å and the angles 90.00°, 90.00° and 90.00°. Symmetry generates all atoms from Ba at (0.000, 0.500, 0.000), Os at (0.000, 0.000, 0.500) and Rh at (0.500, 0.500, 0.500).

The calculated volume comes out at 109 Å³/cell. The formation energy is 3.39 eV per formula unit. The value obtained for the distance to the lowest polymorph of the same formula is 701.2 meV/atom.



## BaOs4Rh (PBE)

Data for crystalline BaOs4Rh at its relaxed geometry.

The structure belongs to space group F-43m (No. 216); the cell edges are 7.594, 7.594 and 7.594 Å and the angles 90.00°, 90.00° and 90.00°. Symmetry generates all atoms from Ba at (0.000, 0.000, 0.000), Os at (0.123, 0.123, 0.623) and Rh at (0.250, 0.250, 0.250).

The calculated volume comes out at 438 Å³/cell. The formation energy is 6.03 eV per formula unit.



## BaOsRh2 (PBE)

Data for crystalline BaOsRh2 at its relaxed geometry.

The structure belongs to space group R3m (No. 160, hexagonal axes); the cell edges are 2.9390, 2.9390 and 29.9744 Å and the angles 90.00°, 90.00° and 120.00°. Symmetry generates all atoms from Ba at (0.0000, 0.0000, 0.0000), Os at (0.0000, 0.0000, 0.2335), Rh at (0.0000, 0.0000, 0.5002) and Rh at (0.0000, 0.0000, 0.7610).

The calculated volume comes out at 224 Å³/cell. The formation energy is 3.58 eV per formula unit. The value obtained for the distance to the lowest polymorph of the same formula is 716.2 meV/atom.



In order of appearance, spin magnetization = 3.47 0.00 0.36 2.31 1.67 0.00 0.01 1.92 9.55 7.19 1.05 0.00 1.31 0.00 1.35 μB per cell.